# NdTlVO4

Crystalline NdTlVO4 at its relaxed geometry (PBE with a Hubbard U, the Alexandria database).

Calculated values
- Total energy: -7.06 eV per atom
- SG: P2_1/m

a b c (Å): 6.290 5.967 7.686
angles (deg): 90.00 102.80 90.00
Fractional positions:
Nd (0.185, 0.250, 0.070)
Nd (0.815, 0.750, 0.930)
Tl (0.286, 0.250, 0.610)
Tl (0.714, 0.750, 0.390)
V (0.303, 0.750, 0.861)
V (0.697, 0.250, 0.139)
O (0.090, 0.522, 0.846)
O (0.090, 0.978, 0.846)
O (0.472, 0.750, 0.076)
O (0.475, 0.750, 0.706)
O (0.525, 0.250, 0.294)
O (0.528, 0.250, 0.924)
O (0.910, 0.022, 0.154)
O (0.910, 0.478, 0.154)